one.
The following is a DFT calculation (GGA-PBE) of an optimized crystal structure of PmAl2Ag2.

Properties
Total magnetization: 0.00 Bohr magnetons per cell

```
data_PmAl2Ag2
_cell_length_a 11.572
_cell_length_b 11.572
_cell_length_c 11.572
_cell_angle_alpha 158.48
_cell_angle_beta 158.48
_cell_angle_gamma 30.62
_space_group_name_H-M_alt 'P 1'
_space_group_IT_number 1
_space_group_name_Hall 'P 1'
loop_
_atom_site_label
_atom_site_fract_x
_atom_site_fract_y
_atom_site_fract_z
Pm1 0.123 0.123 0.000
Pm2 0.877 0.877 0.000
Al1 0.000 0.500 0.500
Al2 0.317 0.317 0.000
Al3 0.500 0.000 0.500
Al4 0.683 0.683 0.000
Ag1 0.250 0.750 0.500
Ag2 0.430 0.430 0.000
Ag3 0.570 0.570 0.000
Ag4 0.750 0.250 0.500
```

---

two.
The following is a DFT calculation (GGA-PBE) of an optimized crystal structure of PmAl2Ag2.

Properties
Total magnetization: 0.00 Bohr magnetons per cell

```
data_PmAl2Ag2
_cell_length_a 6.177
_cell_length_b 6.177
_cell_length_c 6.177
_cell_angle_alpha 138.00
_cell_angle_beta 138.00
_cell_angle_gamma 60.90
_space_group_name_H-M_alt 'P 1'
_space_group_IT_number 1
_space_group_name_Hall 'P 1'
loop_
_atom_site_label
_atom_site_fract_x
_atom_site_fract_y
_atom_site_fract_z
Pm1 0.000 0.000 0.000
Al1 0.382 0.382 0.000
Al2 0.618 0.618 0.000
Ag1 0.250 0.750 0.500
Ag2 0.750 0.250 0.500
```

---

Most stable pick: two. Distance to second place: 13 meV/atom.

---

one.
The following is a DFT calculation (GGA-PBE) of an optimized crystal structure of Pm2Al3Ag.

Properties
Total magnetization: 0.00 Bohr magnetons per cell

```
data_Pm2Al3Ag
_cell_length_a 5.741
_cell_length_b 5.741
_cell_length_c 8.978
_cell_angle_alpha 90.00
_cell_angle_beta 90.00
_cell_angle_gamma 120.00
_space_group_name_H-M_alt 'P 1'
_space_group_IT_number 1
_space_group_name_Hall 'P 1'
loop_
_atom_site_label
_atom_site_fract_x
_atom_site_fract_y
_atom_site_fract_z
Pm1 0.333 0.667 0.075
Pm2 0.333 0.667 0.425
Pm3 0.667 0.333 0.575
Pm4 0.667 0.333 0.925
Al1 0.171 0.342 0.750
Al2 0.171 0.829 0.750
Al3 0.342 0.171 0.250
Al4 0.658 0.829 0.750
Al5 0.829 0.171 0.250
Al6 0.829 0.658 0.250
Ag1 0.000 0.000 0.000
Ag2 0.000 0.000 0.500
```

---

two.
The following is a DFT calculation (GGA-PBE) of an optimized crystal structure of Pm2Al3Ag.

Properties
Total magnetization: 0.00 Bohr magnetons per cell

```
data_Pm2Al3Ag
_cell_length_a 8.413
_cell_length_b 8.413
_cell_length_c 8.413
_cell_angle_alpha 151.19
_cell_angle_beta 149.60
_cell_angle_gamma 42.37
_space_group_name_H-M_alt 'P 1'
_space_group_IT_number 1
_space_group_name_Hall 'P 1'
loop_
_atom_site_label
_atom_site_fract_x
_atom_site_fract_y
_atom_site_fract_z
Pm1 0.000 0.000 0.000
Pm2 0.766 0.266 0.500
Al1 0.175 0.675 0.500
Al2 0.339 0.839 0.500
Al3 0.428 0.428 0.000
Ag1 0.592 0.592 0.000
```

---

Most stable pick: one. Distance to second place: 77 meV/atom.

---

one.
The following is a DFT calculation (GGA-PBE) of an optimized crystal structure of PmAl4Ag2.

Properties
Total magnetization: 0.00 Bohr magnetons per cell

```
data_PmAl4Ag2
_cell_length_a 8.145
_cell_length_b 8.145
_cell_length_c 4.126
_cell_angle_alpha 90.00
_cell_angle_beta 90.00
_cell_angle_gamma 90.00
_space_group_name_H-M_alt 'P 1'
_space_group_IT_number 1
_space_group_name_Hall 'P 1'
loop_
_atom_site_label
_atom_site_fract_x
_atom_site_fract_y
_atom_site_fract_z
Pm1 0.000 0.000 0.000
Pm2 0.500 0.500 0.500
Al1 0.085 0.340 0.500
Al2 0.160 0.585 0.000
Al3 0.340 0.085 0.500
Al4 0.415 0.840 0.000
Al5 0.585 0.160 0.000
Al6 0.660 0.915 0.500
Al7 0.840 0.415 0.000
Al8 0.915 0.660 0.500
Ag1 0.209 0.791 0.500
Ag2 0.291 0.291 0.000
Ag3 0.709 0.709 0.000
Ag4 0.791 0.209 0.500
```

---

two.
The following is a DFT calculation (GGA-PBE) of an optimized crystal structure of PmAl4Ag2.

Properties
Total magnetization: 0.00 Bohr magnetons per cell

```
data_PmAl4Ag2
_cell_length_a 5.792
_cell_length_b 5.792
_cell_length_c 5.158
_cell_angle_alpha 116.07
_cell_angle_beta 116.07
_cell_angle_gamma 70.42
_space_group_name_H-M_alt 'P 1'
_space_group_IT_number 1
_space_group_name_Hall 'P 1'
loop_
_atom_site_label
_atom_site_fract_x
_atom_site_fract_y
_atom_site_fract_z
Pm1 0.000 0.000 0.000
Al1 0.014 0.609 0.294
Al2 0.391 0.986 0.706
Al3 0.609 0.014 0.294
Al4 0.986 0.391 0.706
Ag1 0.440 0.440 0.694
Ag2 0.560 0.560 0.306
```

---

Most stable pick: one. Distance to second place: 22 meV/atom.